[1]
{"formula": "AlCd2W", "functional": "PBE", "state": "relaxed", "cell": [[9.6190, 0.0000, 0.0000], [0.0000, 2.8772, 0.0000], [-0.9509, 0.0000, 5.3148]], "species": ["Al", "Al", "Cd", "Cd", "Cd", "Cd", "W", "W"], "frac_coords": [[0.0000, 0.0000, 0.0000], [0.5000, 0.5000, 0.0000], [0.2464, 0.0000, 0.6874], [0.4897, 0.0000, 0.4536], [0.7464, 0.5000, 0.6874], [0.9897, 0.5000, 0.4536], [0.2399, 0.5000, 0.1688], [0.7399, 0.0000, 0.1688]], "density_kg_m3": 9836, "dos_at_fermi_per_ev_atom": 0.46, "formation_enthalpy_0k_ev_per_atom": 0.3931, "energy_ev_per_cell": -33.91, "sg": "Cm, No. 8", "volume_a3_per_cell": 147.1, "m_tot_mub_per_fu": 0.0}

[2]
{"formula": "AlCd3W", "functional": "PBE", "state": "relaxed", "cell": [[5.0837, 0.0000, 0.0000], [0.0000, 5.0837, 0.0000], [0.0000, 0.0000, 5.0837]], "species": ["Al", "Cd", "Cd", "Cd", "W"], "frac_coords": [[0.0000, 0.0000, 0.0000], [0.0000, 0.0000, 0.5000], [0.0000, 0.5000, 0.0000], [0.5000, 0.0000, 0.0000], [0.5000, 0.5000, 0.5000]], "density_kg_m3": 6927, "dos_at_fermi_per_ev_atom": 1.00, "formation_enthalpy_0k_ev_per_atom": 1.4677, "energy_ev_per_cell": -12.10, "sg": "Pm-3m, No. 221", "volume_a3_per_cell": 131.4, "m_tot_mub_per_fu": 4.6}

[3]
{"formula": "Al3CdW", "functional": "PBE", "state": "relaxed", "cell": [[4.9059, 0.0000, 0.0000], [0.0000, 4.9059, 0.0000], [0.0000, 0.0000, 4.9059]], "species": ["Al", "Al", "Al", "Cd", "W"], "frac_coords": [[0.0000, 0.0000, 0.5000], [0.0000, 0.5000, 0.0000], [0.5000, 0.0000, 0.0000], [0.5000, 0.5000, 0.5000], [0.0000, 0.0000, 0.0000]], "density_kg_m3": 5305, "dos_at_fermi_per_ev_atom": 0.57, "formation_enthalpy_0k_ev_per_atom": 0.7071, "energy_ev_per_cell": -21.56, "sg": "Pm-3m, No. 221", "volume_a3_per_cell": 118.1, "m_tot_mub_per_fu": 0.0}

[4]
{"formula": "AlCd2W", "functional": "PBE", "state": "relaxed", "cell": [[10.5903, 0.0000, 0.0000], [0.0000, 2.9619, 0.0000], [-1.3545, 0.0000, 4.6319]], "species": ["Al", "Al", "Cd", "Cd", "Cd", "Cd", "W", "W"], "frac_coords": [[0.0000, 0.0000, 0.0000], [0.5000, 0.5000, 0.0000], [0.2484, 0.0000, 0.7468], [0.2516, 0.5000, 0.2532], [0.7484, 0.5000, 0.7468], [0.7516, 0.0000, 0.2532], [0.0000, 0.5000, 0.5000], [0.5000, 0.0000, 0.5000]], "density_kg_m3": 9958, "dos_at_fermi_per_ev_atom": 0.60, "formation_enthalpy_0k_ev_per_atom": 0.3939, "energy_ev_per_cell": -33.90, "sg": "C2/m, No. 12", "volume_a3_per_cell": 145.3, "m_tot_mub_per_fu": 0.0}

[5]
{"formula": "AlCd2W", "functional": "PBE", "state": "relaxed", "cell": [[2.9364, 0.0000, 0.0000], [0.0000, 4.5039, 0.0000], [0.0000, 0.0000, 5.5731]], "species": ["Al", "Cd", "Cd", "W"], "frac_coords": [[0.0000, 0.0000, 0.0000], [0.5000, 0.5000, 0.2560], [0.5000, 0.5000, 0.7440], [0.0000, 0.0000, 0.5000]], "density_kg_m3": 9814, "dos_at_fermi_per_ev_atom": 0.75, "formation_enthalpy_0k_ev_per_atom": 0.5408, "energy_ev_per_cell": -16.36, "sg": "Pmmm, No. 47", "volume_a3_per_cell": 73.7, "m_tot_mub_per_fu": 0.0}

[6]
{"formula": "AlCd2W", "functional": "PBE", "state": "relaxed", "cell": [[2.8540, 0.0000, 0.0000], [0.0000, 2.8540, 0.0000], [0.0000, 0.0000, 9.2200]], "species": ["Al", "Cd", "Cd", "W"], "frac_coords": [[0.0000, 0.0000, 0.0000], [0.5000, 0.5000, 0.2560], [0.5000, 0.5000, 0.7440], [0.0000, 0.0000, 0.5000]], "density_kg_m3": 9632, "dos_at_fermi_per_ev_atom": 0.69, "formation_enthalpy_0k_ev_per_atom": 0.4867, "energy_ev_per_cell": -16.58, "sg": "P4/mmm, No. 123", "volume_a3_per_cell": 75.1, "m_tot_mub_per_fu": 0.0}

[7]
{"formula": "Al4CdW", "functional": "PBE", "state": "relaxed", "cell": [[0.0000, 3.6568, 3.6568], [3.6568, 0.0000, 3.6568], [3.6568, 3.6568, 0.0000]], "species": ["Al", "Al", "Al", "Al", "Cd", "W"], "frac_coords": [[0.1248, 0.1248, 0.1248], [0.1248, 0.1248, 0.6255], [0.1248, 0.6255, 0.1248], [0.6255, 0.1248, 0.1248], [0.7500, 0.7500, 0.7500], [0.5000, 0.5000, 0.5000]], "density_kg_m3": 6863, "dos_at_fermi_per_ev_atom": 0.49, "formation_enthalpy_0k_ev_per_atom": 0.1901, "energy_ev_per_cell": -27.70, "sg": "F-43m, No. 216", "volume_a3_per_cell": 97.8, "m_tot_mub_per_fu": 0.0}

[8]
{"formula": "AlCd2W", "functional": "PBE", "state": "relaxed", "cell": [[6.6390, 0.0000, 0.0000], [0.0000, 6.6390, 0.0000], [0.0000, 0.0000, 6.6390]], "species": ["Al", "Al", "Al", "Al", "Cd", "Cd", "Cd", "Cd", "Cd", "Cd", "Cd", "Cd", "W", "W", "W", "W"], "frac_coords": [[0.0000, 0.0000, 0.0000], [0.0000, 0.5000, 0.5000], [0.5000, 0.0000, 0.5000], [0.5000, 0.5000, 0.0000], [0.0000, 0.0000, 0.5000], [0.0000, 0.5000, 0.0000], [0.2500, 0.2500, 0.2500], [0.2500, 0.7500, 0.7500], [0.5000, 0.0000, 0.0000], [0.5000, 0.5000, 0.5000], [0.7500, 0.2500, 0.7500], [0.7500, 0.7500, 0.2500], [0.2500, 0.2500, 0.7500], [0.2500, 0.7500, 0.2500], [0.7500, 0.2500, 0.2500], [0.7500, 0.7500, 0.7500]], "density_kg_m3": 9888, "dos_at_fermi_per_ev_atom": 0.71, "formation_enthalpy_0k_ev_per_atom": 0.6646, "energy_ev_per_cell": -63.47, "sg": "F-43m, No. 216", "volume_a3_per_cell": 292.6, "m_tot_mub_per_fu": 0.9}

[9]
{"formula": "AlCd2W", "functional": "PBE", "state": "relaxed", "cell": [[3.0052, 0.0000, 0.0000], [0.0000, 4.7246, 0.0000], [0.0000, 0.0000, 10.2234]], "species": ["Al", "Al", "Cd", "Cd", "Cd", "Cd", "W", "W"], "frac_coords": [[0.0000, 0.0000, 0.0000], [0.5000, 0.5000, 0.5000], [0.0000, 0.5000, 0.2492], [0.0000, 0.5000, 0.7508], [0.5000, 0.0000, 0.2508], [0.5000, 0.0000, 0.7492], [0.0000, 0.0000, 0.5000], [0.5000, 0.5000, 0.0000]], "density_kg_m3": 9967, "dos_at_fermi_per_ev_atom": 0.50, "formation_enthalpy_0k_ev_per_atom": 0.3989, "energy_ev_per_cell": -33.86, "sg": "Immm, No. 71", "volume_a3_per_cell": 145.2, "m_tot_mub_per_fu": 0.0}

[10]
{"formula": "AlCd3W", "functional": "PBE", "state": "relaxed", "cell": [[5.3851, 0.0000, 0.0000], [0.0000, 5.3851, 0.0000], [0.0000, 0.0000, 5.3851]], "species": ["Al", "Cd", "Cd", "Cd", "W"], "frac_coords": [[0.0000, 0.0000, 0.0000], [0.0000, 0.5000, 0.5000], [0.5000, 0.0000, 0.5000], [0.5000, 0.5000, 0.0000], [0.5000, 0.5000, 0.5000]], "density_kg_m3": 5828, "dos_at_fermi_per_ev_atom": 1.26, "formation_enthalpy_0k_ev_per_atom": 1.3365, "energy_ev_per_cell": -12.76, "sg": "Pm-3m, No. 221", "volume_a3_per_cell": 156.2, "m_tot_mub_per_fu": 2.3}

[11]
{"formula": "AlCd2W", "functional": "PBE", "state": "relaxed", "cell": [[5.5725, 0.0000, 0.0000], [0.0000, 9.0142, 0.0000], [0.0000, 0.0000, 2.9105]], "species": ["Al", "Al", "Cd", "Cd", "Cd", "Cd", "W", "W"], "frac_coords": [[0.0000, 0.0000, 0.0000], [0.5000, 0.5000, 0.0000], [0.2500, 0.2500, 0.5000], [0.2500, 0.7500, 0.5000], [0.7500, 0.2500, 0.5000], [0.7500, 0.7500, 0.5000], [0.0000, 0.5000, 0.0000], [0.5000, 0.0000, 0.0000]], "density_kg_m3": 9896, "dos_at_fermi_per_ev_atom": 0.59, "formation_enthalpy_0k_ev_per_atom": 0.4329, "energy_ev_per_cell": -33.59, "sg": "Cmmm, No. 65", "volume_a3_per_cell": 146.2, "m_tot_mub_per_fu": 0.0}

[12]
{"formula": "AlCd2W", "functional": "PBE", "state": "relaxed", "cell": [[3.9753, 0.0000, 0.0000], [0.0000, 3.9753, 0.0000], [0.0000, 0.0000, 4.5099]], "species": ["Al", "Cd", "Cd", "W"], "frac_coords": [[0.0000, 0.0000, 0.0000], [0.0000, 0.5000, 0.5000], [0.5000, 0.0000, 0.5000], [0.5000, 0.5000, 0.0000]], "density_kg_m3": 10150, "dos_at_fermi_per_ev_atom": 0.59, "formation_enthalpy_0k_ev_per_atom": 0.4514, "energy_ev_per_cell": -16.72, "sg": "P4/mmm, No. 123", "volume_a3_per_cell": 71.3, "m_tot_mub_per_fu": 0.0}